1.
Below is crystalline LiInGaAu at its relaxed geometry, with properties calculated at the PBE level.

```
LiInGaAu
1.0
6.656 0.000 0.000
0.000 6.656 0.000
0.000 0.000 6.656
Li In Ga Au
4 4 4 4
Direct
0.000 0.000 0.000
0.000 0.500 0.500
0.500 0.000 0.500
0.500 0.500 0.000
0.250 0.250 0.250
0.250 0.750 0.750
0.750 0.250 0.750
0.750 0.750 0.250
0.250 0.250 0.750
0.250 0.750 0.250
0.750 0.250 0.250
0.750 0.750 0.750
0.000 0.000 0.500
0.000 0.500 0.000
0.500 0.000 0.000
0.500 0.500 0.500
```

Results
Space group ... F-43m
V ... 73.7 Å³/f.u.
Relative energy among the computed polymorphs ... 0.0 meV/atom
DFT total energy ... -3.01 eV/atom

=====

2.
Below is crystalline Sr2Ag2Sn at its relaxed geometry, with properties calculated at the PBE level.

```
Sr2Ag2Sn
1.0
5.355 -3.062 0.000
5.355 3.062 0.000
-2.283 0.000 8.568
Sr Ag Sn
4 4 2
Direct
0.008 0.294 0.150
0.294 0.008 0.650
0.706 0.992 0.350
0.992 0.706 0.850
0.231 0.499 0.506
0.499 0.231 0.006
0.501 0.769 0.994
0.769 0.501 0.494
0.329 0.671 0.250
0.671 0.329 0.750
```

Results
Space group ... C2/c
V ... 140.5 Å³/f.u.
DFT total energy ... -3.06 eV/atom

=====

3.
Below is crystalline Er2ScCu4Si2Ge2 at its relaxed geometry, with properties calculated at the PBE level.

```
Er2ScCu4Si2Ge2
1.0
-2.075 3.241 6.811
2.075 -3.241 6.811
2.075 3.241 -6.811
Er Sc Cu Si Ge
2 1 4 2 2
Direct
0.128 0.128 0.000
0.872 0.872 0.000
0.500 0.000 0.500
0.143 0.335 0.808
0.473 0.665 0.808
0.527 0.335 0.192
0.857 0.665 0.192
0.190 0.500 0.690
0.810 0.500 0.310
0.286 0.786 0.500
0.714 0.214 0.500
```

Results
Space group ... Immm
V ... 183.2 Å³/f.u.
Relative energy among the computed polymorphs ... 16.7 meV/atom
DFT total energy ... -5.19 eV/atom
Magnetic moment ... 0.0 μB per cell

=====

4.
Below is crystalline Al2TcPt at its relaxed geometry, with properties calculated at the PBE level.

```
Al2TcPt
1.0
6.221 0.000 0.000
0.000 6.221 0.000
0.000 0.000 6.221
Al Tc Pt
8 4 4
Direct
0.000 0.000 0.000
0.000 0.500 0.500
0.250 0.250 0.250
0.250 0.750 0.750
0.500 0.000 0.500
0.500 0.500 0.000
0.750 0.250 0.750
0.750 0.750 0.250
0.250 0.250 0.750
0.250 0.750 0.250
0.750 0.250 0.250
0.750 0.750 0.750
0.000 0.000 0.500
0.000 0.500 0.000
0.500 0.000 0.000
0.500 0.500 0.500
```

Results
Space group ... F-43m
V ... 60.2 Å³/f.u.
DFT total energy ... -6.19 eV/atom
Magnetic moment ... 0.1 μB per cell

=====

5.
Below is crystalline RbTaAuSe3 at its relaxed geometry, with properties calculated at the PBE level.

```
RbTaAuSe3
1.0
1.871 -8.003 0.000
1.871 8.003 0.000
0.000 0.000 10.166
Rb Ta Au Se
2 2 2 6
Direct
0.243 0.757 0.750
0.757 0.243 0.250
0.000 0.000 0.000
0.000 0.000 0.500
0.452 0.548 0.250
0.548 0.452 0.750
0.071 0.929 0.250
0.382 0.618 0.028
0.382 0.618 0.472
0.618 0.382 0.528
0.618 0.382 0.972
0.929 0.071 0.750
```

Results
Space group ... Cmcm
V ... 152.2 Å³/f.u.
DFT total energy ... -4.99 eV/atom
Magnetic moment ... 0.0 μB per cell

=====

6.
Below is crystalline Nd3Zr4 at its relaxed geometry, with properties calculated at the PBE level.

```
Nd3Zr4
1.0
9.107 0.000 0.000
-4.553 7.886 0.000
0.000 0.000 5.388
Nd Zr
6 8
Direct
0.064 0.801 0.250
0.199 0.263 0.250
0.263 0.064 0.750
0.737 0.936 0.250
0.801 0.737 0.750
0.936 0.199 0.750
0.110 0.603 0.750
0.333 0.667 0.250
0.397 0.508 0.750
0.492 0.890 0.750
0.508 0.110 0.250
0.603 0.492 0.250
0.667 0.333 0.750
0.890 0.397 0.250
```

Results
Formation energy ... 0.13 eV/atom
Space group ... P6_3/m
V ... 193.5 Å³/f.u.
Relative energy among the computed polymorphs ... 0.0 meV/atom
DFT total energy ... -6.80 eV/atom
Magnetic moment ... 0.1 μB per cell

=====

7.
Below is crystalline TaCoReB at its relaxed geometry, with properties calculated at the PBE level.

```
TaCoReB
1.0
5.899 0.000 0.000
0.000 5.899 0.000
0.000 0.000 5.899
Ta Co Re B
4 4 4 4
Direct
0.000 0.000 0.000
0.000 0.500 0.500
0.500 0.000 0.500
0.500 0.500 0.000
0.250 0.250 0.750
0.250 0.750 0.250
0.750 0.250 0.250
0.750 0.750 0.750
0.250 0.250 0.250
0.250 0.750 0.750
0.750 0.250 0.750
0.750 0.750 0.250
0.000 0.000 0.500
0.000 0.500 0.000
0.500 0.000 0.000
0.500 0.500 0.500
```

Results
Space group ... F-43m
V ... 51.3 Å³/f.u.
Relative energy among the computed polymorphs ... 0.0 meV/atom
DFT total energy ... -9.16 eV/atom
Magnetic moment ... 0.0 μB per cell

=====

8.
Below is crystalline AcTa2Bi at its relaxed geometry, with properties calculated at the PBE level.

```
AcTa2Bi
1.0
3.411 0.000 0.000
-1.705 2.954 0.000
0.000 0.000 19.765
Ac Ta Bi
2 4 2
Direct
0.333 0.667 0.250
0.667 0.333 0.750
0.333 0.667 0.612
0.333 0.667 0.888
0.667 0.333 0.112
0.667 0.333 0.388
0.000 0.000 0.000
0.000 0.000 0.500
```

Results
Space group ... P6_3/mmc
V ... 99.6 Å³/f.u.
DFT total energy ... -7.07 eV/atom
Magnetic moment ... 0.0 μB per cell

=====

Question: What is the V in the sixth record?
Answer: 193.5 Å³/f.u.